{
  "formula": "Hg2CN2",
  "functional": "PBE",
  "state": "optimized geometry",
  "e_above_lowest_polymorph_mev_per_atom": 0.0,
  "formation_energy_uncorrected_ev_per_atom": 1.5285,
  "dos_ef_per_ev_atom": 0.31,
  "cell": [[5.402, 0.000, 0.000], [0.000, 5.402, 0.000], [2.701, 2.701, 4.001]],
  "species": ["C", "Hg", "Hg", "N", "N"],
  "fractional_positions": [[0.000, 0.000, 0.000], [0.750, 0.250, 0.500], [0.250, 0.750, 0.500], [0.430, 0.430, 0.140], [0.570, 0.570, 0.860]]
}

***

{
  "formula": "Ni2HgCN",
  "functional": "PBE",
  "state": "optimized geometry",
  "formation_energy_uncorrected_ev_per_atom": 2.9959,
  "dos_ef_per_ev_atom": 1.02,
  "cell": [[-2.338, 1.301, -3.994], [-2.648, -2.742, 0.657], [-2.610, 3.131, 2.548]],
  "species": ["Ni", "Ni", "C", "Hg", "N"],
  "fractional_positions": [[0.000, 0.000, 0.500], [0.500, 0.000, 0.000], [0.500, 0.500, 0.500], [0.000, 0.000, 0.000], [0.000, 0.500, 0.000]]
}

***

{
  "formula": "Hg2C2N2O",
  "functional": "PBE",
  "state": "optimized geometry",
  "formation_energy_uncorrected_ev_per_atom": 0.3122,
  "dos_ef_per_ev_atom": 0.00,
  "cell": [[4.235, 0.000, 0.000], [0.000, 7.115, 0.000], [0.000, 0.000, 19.187]],
  "species": ["Hg", "Hg", "Hg", "Hg", "Hg", "Hg", "Hg", "Hg", "C", "C", "C", "C", "C", "C", "C", "C", "N", "N", "N", "N", "N", "N", "N", "N", "O", "O", "O", "O"],
  "fractional_positions": [[0.250, 0.128, 0.847], [0.750, 0.872, 0.153], [0.750, 0.800, 0.979], [0.250, 0.200, 0.021], [0.750, 0.700, 0.479], [0.750, 0.628, 0.653], [0.250, 0.300, 0.521], [0.250, 0.372, 0.347], [0.250, 0.056, 0.577], [0.750, 0.724, 0.243], [0.250, 0.224, 0.257], [0.750, 0.556, 0.923], [0.750, 0.944, 0.423], [0.250, 0.444, 0.077], [0.250, 0.276, 0.757], [0.750, 0.776, 0.743], [0.250, 0.371, 0.707], [0.250, 0.129, 0.207], [0.750, 0.094, 0.399], [0.750, 0.871, 0.793], [0.250, 0.594, 0.101], [0.250, 0.906, 0.601], [0.750, 0.629, 0.293], [0.750, 0.406, 0.899], [0.750, 0.496, 0.558], [0.750, 0.004, 0.058], [0.250, 0.504, 0.442], [0.250, 0.996, 0.942]]
}

***

{
  "formula": "HgCN2O",
  "functional": "PBE",
  "state": "optimized geometry",
  "formation_energy_uncorrected_ev_per_atom": 3.2952,
  "dos_ef_per_ev_atom": 0.48,
  "cell": [[4.313, 0.000, 0.000], [0.000, 4.313, 0.000], [0.000, 0.000, 4.301]],
  "species": ["C", "Hg", "O", "N", "N"],
  "fractional_positions": [[0.500, 0.500, 0.500], [0.000, 0.000, 0.000], [0.000, 0.000, 0.500], [0.000, 0.500, 0.000], [0.500, 0.000, 0.000]]
}

***

{
  "formula": "HgCNO2",
  "functional": "PBE",
  "state": "optimized geometry",
  "formation_energy_uncorrected_ev_per_atom": 2.6953,
  "dos_ef_per_ev_atom": 0.76,
  "cell": [[4.262, 0.000, 0.000], [0.000, 4.262, 0.000], [0.000, 0.000, 4.261]],
  "species": ["C", "Hg", "O", "O", "N"],
  "fractional_positions": [[0.500, 0.500, 0.500], [0.000, 0.000, 0.000], [0.000, 0.500, 0.000], [0.500, 0.000, 0.000], [0.000, 0.000, 0.500]]
}

***

{
  "formula": "HgCNO2",
  "functional": "PBE",
  "state": "optimized geometry",
  "formation_energy_uncorrected_ev_per_atom": 0.9894,
  "dos_ef_per_ev_atom": 0.29,
  "cell": [[-0.872, 3.239, 3.333], [-1.847, -3.353, 2.776], [2.244, -0.416, 0.991]],
  "species": ["C", "Hg", "O", "O", "N"],
  "fractional_positions": [[0.000, 0.000, 0.000], [0.500, 0.500, 0.500], [0.000, 0.500, 0.000], [0.500, 0.000, 0.000], [0.000, 0.000, 0.500]]
}

***

{
  "formula": "HgCN2O",
  "functional": "PBE",
  "state": "optimized geometry",
  "formation_energy_uncorrected_ev_per_atom": 1.7089,
  "dos_ef_per_ev_atom": 0.47,
  "cell": [[-0.458, -0.590, -3.000], [-2.064, -2.179, 0.744], [-5.088, 4.765, -0.161]],
  "species": ["C", "Hg", "O", "N", "N"],
  "fractional_positions": [[0.000, 0.000, 0.000], [0.500, 0.500, 0.500], [0.000, 0.000, 0.500], [0.000, 0.500, 0.000], [0.500, 0.000, 0.000]]
}

***

{
  "formula": "RbHgC3N3O3",
  "functional": "PBE",
  "state": "optimized geometry",
  "formation_energy_uncorrected_ev_per_atom": -0.5702,
  "dos_ef_per_ev_atom": 0.00,
  "cell": [[-1.036, -1.897, 3.632], [9.612, 2.531, 4.065], [-6.859, 15.875, 6.333]],
  "species": ["Rb", "Rb", "Rb", "Rb", "Hg", "Hg", "Hg", "Hg", "C", "C", "C", "C", "C", "C", "C", "C", "C", "C", "C", "C", "N", "N", "N", "N", "N", "N", "N", "N", "N", "N", "N", "N", "O", "O", "O", "O", "O", "O", "O", "O", "O", "O", "O", "O"],
  "fractional_positions": [[0.250, 0.576, 0.338], [0.750, 0.424, 0.662], [0.750, 0.924, 0.838], [0.250, 0.076, 0.162], [0.250, 0.656, 0.964], [0.750, 0.344, 0.036], [0.750, 0.844, 0.464], [0.250, 0.156, 0.536], [0.250, 0.628, 0.802], [0.750, 0.372, 0.198], [0.750, 0.872, 0.302], [0.250, 0.128, 0.698], [0.250, 0.630, 0.531], [0.750, 0.370, 0.469], [0.750, 0.870, 0.031], [0.250, 0.130, 0.969], [0.250, 0.622, 0.124], [0.750, 0.378, 0.876], [0.750, 0.878, 0.624], [0.250, 0.122, 0.376], [0.250, 0.568, 0.066], [0.750, 0.432, 0.934], [0.750, 0.932, 0.566], [0.250, 0.068, 0.434], [0.250, 0.212, 0.014], [0.750, 0.788, 0.986], [0.750, 0.288, 0.514], [0.250, 0.712, 0.486], [0.250, 0.703, 0.852], [0.750, 0.297, 0.148], [0.750, 0.797, 0.352], [0.250, 0.203, 0.648], [0.250, 0.547, 0.576], [0.750, 0.453, 0.424], [0.750, 0.953, 0.076], [0.250, 0.047, 0.924], [0.250, 0.668, 0.183], [0.750, 0.332, 0.817], [0.750, 0.832, 0.683], [0.250, 0.168, 0.317], [0.250, 0.559, 0.751], [0.750, 0.441, 0.249], [0.750, 0.941, 0.251], [0.250, 0.059, 0.749]]
}

***

| no. | energy (eV/atom) |
| --- | --- |
| 1 | -3.77 |
| 2 | -2.89 |
| 3 | -5.50 |
| 4 | -2.93 |
| 5 | -2.86 |
| 6 | -4.56 |
| 7 | -4.52 |
| 8 | -6.82 |